Entry A
NiSbTe2N | PBE | optimized geometry

## Properties
Calculated volume   119.82 Å³/f.u.
Crystal system   tetragonal
M_tot   0.0003 μB/atom

Lattice parameters (Å, degrees): 4.9659 4.9659 4.8591 90.00 90.00 90.00
Positions (direct):
Ni: 0.0000 0.0000 0.0000
Sb: 0.0000 0.0000 0.5000
Te: 0.0000 0.5000 0.0000
Te: 0.5000 0.0000 0.0000
N: 0.5000 0.5000 0.5000

Entry B
NiSbTe2N | PBE | optimized geometry

## Properties
Calculated volume   129.07 Å³/f.u.
Crystal system   tetragonal
M_tot   0.2053 μB/atom

Lattice parameters (Å, degrees): 5.7962 5.7962 3.8419 90.00 90.00 90.00
Positions (direct):
Ni: 0.0000 0.0000 0.0000
Sb: 0.5000 0.5000 0.5000
Te: 0.0000 0.5000 0.5000
Te: 0.5000 0.0000 0.5000
N: 0.5000 0.5000 0.0000

Entry C
NiSbTe2N | PBE | optimized geometry

## Properties
Calculated volume   104.49 Å³/f.u.
Crystal system   tetragonal
M_tot   0.0002 μB/atom

Lattice parameters (Å, degrees): 5.4333 5.4333 3.5394 90.00 90.00 90.00
Positions (direct):
Ni: 0.0000 0.0000 0.0000
Sb: 0.5000 0.5000 0.5000
Te: 0.0000 0.5000 0.0000
Te: 0.5000 0.0000 0.0000
N: 0.0000 0.0000 0.5000

Entry D
NiSbTe2N | PBE | optimized geometry

## Properties
Calculated volume   102.54 Å³/f.u.
Crystal system   tetragonal
M_tot   0.0000 μB/atom

Lattice parameters (Å, degrees): 4.6588 4.6588 4.7244 90.00 90.00 90.00
Positions (direct):
Ni: 0.0000 0.0000 0.0000
Sb: 0.5000 0.5000 0.0000
Te: 0.0000 0.5000 0.5000
Te: 0.5000 0.0000 0.5000
N: 0.5000 0.5000 0.5000

Which one sits at the top of the stability order? entry C does.

Entry A
ZnNi2SbN | PBE | optimized geometry

## Properties
Calculated volume   75.69 Å³/f.u.
Crystal system   tetragonal
M_tot   0.0000 μB/atom

Lattice parameters (Å, degrees): 4.6077 4.6077 3.5651 90.00 90.00 90.00
Positions (direct):
Zn: 0.0000 0.0000 0.0000
Ni: 0.0000 0.5000 0.0000
Ni: 0.5000 0.0000 0.0000
Sb: 0.5000 0.5000 0.5000
N: 0.0000 0.0000 0.5000

Entry B
ZnNi2SbN | PBE | optimized geometry

## Properties
Calculated volume   113.88 Å³/f.u.
Crystal system   tetragonal
M_tot   0.7999 μB/atom

Lattice parameters (Å, degrees): 4.7133 4.7133 5.1260 90.00 90.00 90.00
Positions (direct):
Zn: 0.0000 0.0000 0.0000
Ni: 0.0000 0.5000 0.5000
Ni: 0.5000 0.0000 0.5000
Sb: 0.0000 0.0000 0.5000
N: 0.5000 0.5000 0.0000

Which one sits at the top of the stability order? entry A does.

Entry A
ScNi3N | PBE | optimized geometry

## Properties
Calculated volume   57.75 Å³/f.u.
Crystal system   cubic
M_tot   0.0000 μB/atom

Lattice parameters (Å, degrees): 3.8652 3.8652 3.8652 90.00 90.00 90.00
Positions (direct):
Sc: 0.0000 0.0000 0.0000
Ni: 0.0000 0.5000 0.5000
Ni: 0.5000 0.0000 0.5000
Ni: 0.5000 0.5000 0.0000
N: 0.5000 0.5000 0.5000

Entry B
ScNi3N | PBE | optimized geometry

## Properties
Calculated volume   86.41 Å³/f.u.
Crystal system   cubic
M_tot   0.3818 μB/atom

Lattice parameters (Å, degrees): 4.4210 4.4210 4.4210 90.00 90.00 90.00
Positions (direct):
Sc: 0.0000 0.0000 0.0000
Ni: 0.0000 0.0000 0.5000
Ni: 0.0000 0.5000 0.0000
Ni: 0.5000 0.0000 0.0000
N: 0.5000 0.5000 0.5000

Which one sits at the top of the stability order? entry A does.

Entry A
Sc2Ni2N | PBE | optimized geometry

## Properties
Calculated volume   69.45 Å³/f.u.
Crystal system   tetragonal
M_tot   0.0000 μB/atom

Lattice parameters (Å, degrees): 6.2554 6.2554 3.5498 90.00 90.00 90.00
Positions (direct):
Sc: 0.1799 0.3201 0.0000
Sc: 0.3201 0.8201 0.0000
Sc: 0.6799 0.1799 0.0000
Sc: 0.8201 0.6799 0.0000
Ni: 0.1309 0.6309 0.5000
Ni: 0.3691 0.1309 0.5000
Ni: 0.6309 0.8691 0.5000
Ni: 0.8691 0.3691 0.5000
N: 0.0000 0.0000 0.5000
N: 0.5000 0.5000 0.5000

Entry B
Sc2Ni2N | PBE | optimized geometry

## Properties
Calculated volume   74.87 Å³/f.u.
Crystal system   tetragonal
M_tot   0.0001 μB/atom

Lattice parameters (Å, degrees): 4.6301 4.6301 4.6301 114.42 114.42 99.96
Positions (direct):
Sc: 0.2500 0.7500 0.5000
Sc: 0.7500 0.2500 0.5000
Ni: 0.1967 0.1967 0.0000
Ni: 0.8033 0.8033 0.0000
N: 0.5000 0.5000 0.0000

Which one sits at the top of the stability order? entry B does.

Entry A
ScNiSeN2 | PBE | optimized geometry

## Properties
Calculated volume   67.93 Å³/f.u.
Crystal system   tetragonal
M_tot   0.2993 μB/atom

Lattice parameters (Å, degrees): 3.7899 3.7899 4.7292 90.00 90.00 90.00
Positions (direct):
Sc: 0.0000 0.0000 0.0000
Ni: 0.5000 0.5000 0.5000
Se: 0.5000 0.5000 0.0000
N: 0.0000 0.5000 0.5000
N: 0.5000 0.0000 0.5000

Entry B
ScNiSeN2 | PBE | optimized geometry

## Properties
Calculated volume   89.88 Å³/f.u.
Crystal system   tetragonal
M_tot   0.7293 μB/atom

Lattice parameters (Å, degrees): 4.0498 4.0498 5.4804 90.00 90.00 90.00
Positions (direct):
Sc: 0.0000 0.0000 0.0000
Ni: 0.5000 0.5000 0.5000
Se: 0.0000 0.0000 0.5000
N: 0.0000 0.5000 0.0000
N: 0.5000 0.0000 0.0000

Which one sits at the top of the stability order? entry A does.

Entry A
ScNiSe2N | PBE | optimized geometry

## Properties
Calculated volume   84.42 Å³/f.u.
Crystal system   tetragonal
M_tot   0.1824 μB/atom

Lattice parameters (Å, degrees): 4.8898 4.8898 3.5309 90.00 90.00 90.00
Positions (direct):
Sc: 0.0000 0.0000 0.0000
Ni: 0.5000 0.5000 0.5000
Se: 0.0000 0.5000 0.5000
Se: 0.5000 0.0000 0.5000
N: 0.5000 0.5000 0.0000

Entry B
ScNiSe2N | PBE | optimized geometry

## Properties
Calculated volume   79.84 Å³/f.u.
Crystal system   tetragonal
M_tot   0.0000 μB/atom

Lattice parameters (Å, degrees): 4.7219 4.7219 3.5808 90.00 90.00 90.00
Positions (direct):
Sc: 0.0000 0.0000 0.0000
Ni: 0.5000 0.5000 0.0000
Se: 0.0000 0.5000 0.5000
Se: 0.5000 0.0000 0.5000
N: 0.5000 0.5000 0.5000

Which one sits at the top of the stability order? entry A does.

Entry A
ScNiTe2N | PBE | optimized geometry

## Properties
Calculated volume   121.57 Å³/f.u.
Crystal system   tetragonal
M_tot   0.1075 μB/atom

Lattice parameters (Å, degrees): 5.6406 5.6406 3.8210 90.00 90.00 90.00
Positions (direct):
Sc: 0.0000 0.0000 0.0000
Ni: 0.5000 0.5000 0.5000
Te: 0.0000 0.5000 0.0000
Te: 0.5000 0.0000 0.0000
N: 0.0000 0.0000 0.5000

Entry B
ScNiTe2N | PBE | optimized geometry

## Properties
Calculated volume   99.77 Å³/f.u.
Crystal system   tetragonal
M_tot   0.1507 μB/atom

Lattice parameters (Å, degrees): 5.3224 5.3224 3.5220 90.00 90.00 90.00
Positions (direct):
Sc: 0.0000 0.0000 0.0000
Ni: 0.5000 0.5000 0.5000
Te: 0.0000 0.5000 0.5000
Te: 0.5000 0.0000 0.5000
N: 0.5000 0.5000 0.0000

Which one sits at the top of the stability order? entry B does.

Entry A
Ni3SeN | PBE | optimized geometry

## Properties
Calculated volume   81.34 Å³/f.u.
Crystal system   cubic
M_tot   0.3837 μB/atom

Lattice parameters (Å, degrees): 4.3327 4.3327 4.3327 90.00 90.00 90.00
Positions (direct):
Ni: 0.0000 0.0000 0.5000
Ni: 0.0000 0.5000 0.0000
Ni: 0.5000 0.0000 0.0000
Se: 0.0000 0.0000 0.0000
N: 0.5000 0.5000 0.5000

Entry B
Ni3SeN | PBE | optimized geometry

## Properties
Calculated volume   57.35 Å³/f.u.
Crystal system   cubic
M_tot   0.0000 μB/atom

Lattice parameters (Å, degrees): 3.8564 3.8564 3.8564 90.00 90.00 90.00
Positions (direct):
Ni: 0.0000 0.0000 0.5000
Ni: 0.0000 0.5000 0.0000
Ni: 0.5000 0.0000 0.0000
Se: 0.5000 0.5000 0.5000
N: 0.0000 0.0000 0.0000

Which one sits at the top of the stability order? entry B does.

Entry A
Ni2SeN | PBE | optimized geometry

## Properties
Calculated volume   54.23 Å³/f.u.
Crystal system   tetragonal
M_tot   0.0000 μB/atom

Lattice parameters (Å, degrees): 6.1438 6.1438 6.1438 136.51 136.51 63.20
Positions (direct):
Ni: 0.0140 0.6250 0.8890
Ni: 0.3750 0.2640 0.3890
Ni: 0.7360 0.1250 0.1110
Ni: 0.8750 0.9860 0.6110
Se: 0.2500 0.7500 0.5000
Se: 0.5000 0.5000 0.0000
N: 0.0000 0.0000 0.0000
N: 0.7500 0.2500 0.5000

Entry B
Ni2SeN | PBE | optimized geometry

## Properties
Calculated volume   44.57 Å³/f.u.
Crystal system   cubic
M_tot   0.0000 μB/atom

Lattice parameters (Å, degrees): 3.9797 3.9797 3.9797 60.00 60.00 60.00
Positions (direct):
Ni: 0.2500 0.2500 0.2500
Ni: 0.7500 0.7500 0.7500
Se: 0.0000 0.0000 0.0000
N: 0.5000 0.5000 0.5000

Which one sits at the top of the stability order? entry A does.

Entry A
SiNiSe2N | PBE | optimized geometry

## Properties
Calculated volume   83.82 Å³/f.u.
Crystal system   tetragonal
M_tot   0.0000 μB/atom

Lattice parameters (Å, degrees): 4.9549 4.9549 3.4140 90.00 90.00 90.00
Positions (direct):
Si: 0.0000 0.0000 0.0000
Ni: 0.5000 0.5000 0.5000
Se: 0.0000 0.5000 0.5000
Se: 0.5000 0.0000 0.5000
N: 0.5000 0.5000 0.0000

Entry B
SiNiSe2N | PBE | optimized geometry

## Properties
Calculated volume   81.61 Å³/f.u.
Crystal system   tetragonal
M_tot   0.0000 μB/atom

Lattice parameters (Å, degrees): 5.0409 5.0409 3.2117 90.00 90.00 90.00
Positions (direct):
Si: 0.0000 0.0000 0.0000
Ni: 0.5000 0.5000 0.5000
Se: 0.0000 0.5000 0.0000
Se: 0.5000 0.0000 0.0000
N: 0.0000 0.0000 0.5000

Which one sits at the top of the stability order? entry B does.

Entry A
TcNiSeN2 | PBE | optimized geometry

## Properties
Calculated volume   76.81 Å³/f.u.
Crystal system   tetragonal
M_tot   0.1849 μB/atom

Lattice parameters (Å, degrees): 3.7580 3.7580 5.4385 90.00 90.00 90.00
Positions (direct):
Tc: 0.0000 0.0000 0.0000
Ni: 0.5000 0.5000 0.5000
Se: 0.0000 0.0000 0.5000
N: 0.0000 0.5000 0.0000
N: 0.5000 0.0000 0.0000

Entry B
TcNiSeN2 | PBE | optimized geometry

## Properties
Calculated volume   69.34 Å³/f.u.
Crystal system   tetragonal
M_tot   0.0500 μB/atom

Lattice parameters (Å, degrees): 3.6917 3.6917 5.0874 90.00 90.00 90.00
Positions (direct):
Tc: 0.0000 0.0000 0.0000
Ni: 0.5000 0.5000 0.5000
Se: 0.5000 0.5000 0.0000
N: 0.0000 0.5000 0.5000
N: 0.5000 0.0000 0.5000

Which one sits at the top of the stability order? entry A does.

Entry A
TcNiSe2N | PBE | optimized geometry

## Properties
Calculated volume   91.45 Å³/f.u.
Crystal system   tetragonal
M_tot   0.1475 μB/atom

Lattice parameters (Å, degrees): 4.9921 4.9921 3.6694 90.00 90.00 90.00
Positions (direct):
Tc: 0.0000 0.0000 0.0000
Ni: 0.5000 0.5000 0.5000
Se: 0.0000 0.5000 0.0000
Se: 0.5000 0.0000 0.0000
N: 0.0000 0.0000 0.5000

Entry B
TcNiSe2N | PBE | optimized geometry

## Properties
Calculated volume   80.02 Å³/f.u.
Crystal system   tetragonal
M_tot   0.3807 μB/atom

Lattice parameters (Å, degrees): 4.8849 4.8849 3.3534 90.00 90.00 90.00
Positions (direct):
Tc: 0.0000 0.0000 0.0000
Ni: 0.5000 0.5000 0.5000
Se: 0.0000 0.5000 0.5000
Se: 0.5000 0.0000 0.5000
N: 0.5000 0.5000 0.0000

Which one sits at the top of the stability order? entry A does.